# 1
# Pm6DyY (PBE, optimized geometry)
data_Pm6DyY
_chemical_formula_sum 'Pm6 Dy1 Y1'
_cell_length_a 8.878
_cell_length_b 8.119
_cell_length_c 6.280
_cell_angle_alpha 74.92
_cell_angle_beta 62.01
_cell_angle_gamma 43.08
_space_group_name_H-M_alt 'P 1'
_space_group_IT_number 1
loop_
_space_group_symop_operation_xyz
'x,y,z'
loop_
_atom_site_label
_atom_site_type_symbol
_atom_site_fract_x
_atom_site_fract_y
_atom_site_fract_z
Pm1 Pm 0.124 0.124 0.376
Pm2 Pm 0.249 0.249 0.751
Pm3 Pm 0.376 0.376 0.124
Pm4 Pm 0.624 0.624 0.876
Pm5 Pm 0.751 0.751 0.249
Pm6 Pm 0.876 0.876 0.624
Dy1 Dy 0.000 0.000 0.000
Y1 Y 0.500 0.500 0.500
# formation energy from the elements = 0.015 eV/atom
# space group = Fmmm, No. 69
# crystal system = orthorhombic
# size of the total moment = 0.00 μB per formula unit

# 2
# PmDy6Y8 (PBE, optimized geometry)
data_PmDy6Y8
_chemical_formula_sum 'Pm1 Dy6 Y8'
_cell_length_a 8.653
_cell_length_b 8.653
_cell_length_c 8.653
_cell_angle_alpha 63.14
_cell_angle_beta 63.14
_cell_angle_gamma 63.14
_space_group_name_H-M_alt 'P 1'
_space_group_IT_number 1
loop_
_space_group_symop_operation_xyz
'x,y,z'
loop_
_atom_site_label
_atom_site_type_symbol
_atom_site_fract_x
_atom_site_fract_y
_atom_site_fract_z
Pm1 Pm 0.000 0.000 0.000
Dy1 Dy 0.110 0.539 0.229
Dy2 Dy 0.229 0.110 0.539
Dy3 Dy 0.461 0.771 0.890
Dy4 Dy 0.539 0.229 0.110
Dy5 Dy 0.771 0.890 0.461
Dy6 Dy 0.890 0.461 0.771
Y1 Y 0.110 0.720 0.745
Y2 Y 0.255 0.890 0.280
Y3 Y 0.280 0.255 0.890
Y4 Y 0.423 0.423 0.423
Y5 Y 0.577 0.577 0.577
Y6 Y 0.720 0.745 0.110
Y7 Y 0.745 0.110 0.720
Y8 Y 0.890 0.280 0.255
# formation energy from the elements = 0.132 eV/atom
# space group = R-3, No. 148
# crystal system = trigonal
# size of the total moment = 0.00 μB per formula unit

# 3
# Pm5Dy2Y12 (PBE, optimized geometry)
data_Pm5Dy2Y12
_chemical_formula_sum 'Pm5 Dy2 Y12'
_cell_length_a 6.079
_cell_length_b 9.790
_cell_length_c 11.362
_cell_angle_alpha 69.94
_cell_angle_beta 82.77
_cell_angle_gamma 88.57
_space_group_name_H-M_alt 'P 1'
_space_group_IT_number 1
loop_
_space_group_symop_operation_xyz
'x,y,z'
loop_
_atom_site_label
_atom_site_type_symbol
_atom_site_fract_x
_atom_site_fract_y
_atom_site_fract_z
Pm1 Pm 0.000 0.000 0.000
Pm2 Pm 0.082 0.312 0.043
Pm3 Pm 0.429 0.183 0.485
Pm4 Pm 0.571 0.817 0.515
Pm5 Pm 0.918 0.688 0.957
Dy1 Dy 0.284 0.569 0.419
Dy2 Dy 0.716 0.431 0.581
Y1 Y 0.041 0.684 0.656
Y2 Y 0.102 0.962 0.346
Y3 Y 0.165 0.316 0.724
Y4 Y 0.386 0.903 0.788
Y5 Y 0.424 0.821 0.106
Y6 Y 0.496 0.457 0.167
Y7 Y 0.504 0.543 0.833
Y8 Y 0.576 0.179 0.894
Y9 Y 0.614 0.097 0.212
Y10 Y 0.835 0.684 0.276
Y11 Y 0.898 0.038 0.654
Y12 Y 0.959 0.316 0.344
# formation energy from the elements = 0.110 eV/atom
# space group = P-1, No. 2
# crystal system = triclinic
# size of the total moment = 0.00 μB per formula unit

# 4
# PmDy4Y (PBE, optimized geometry)
data_PmDy4Y
_chemical_formula_sum 'Pm1 Dy4 Y1'
_cell_length_a 5.029
_cell_length_b 6.179
_cell_length_c 7.137
_cell_angle_alpha 106.82
_cell_angle_beta 90.01
_cell_angle_gamma 113.93
_space_group_name_H-M_alt 'P 1'
_space_group_IT_number 1
loop_
_space_group_symop_operation_xyz
'x,y,z'
loop_
_atom_site_label
_atom_site_type_symbol
_atom_site_fract_x
_atom_site_fract_y
_atom_site_fract_z
Pm1 Pm 0.000 0.000 0.000
Dy1 Dy 0.332 0.665 0.666
Dy2 Dy 0.333 0.666 0.167
Dy3 Dy 0.667 0.334 0.833
Dy4 Dy 0.668 0.335 0.334
Y1 Y 0.000 0.000 0.500
# formation energy from the elements = 0.019 eV/atom
# space group = P-1, No. 2
# crystal system = triclinic
# size of the total moment = 0.00 μB per formula unit

# 5
# Pm3Dy4Y4 (PBE, optimized geometry)
data_Pm3Dy4Y4
_chemical_formula_sum 'Pm3 Dy4 Y4'
_cell_length_a 10.973
_cell_length_b 10.973
_cell_length_c 10.973
_cell_angle_alpha 161.30
_cell_angle_beta 118.43
_cell_angle_gamma 64.96
_space_group_name_H-M_alt 'P 1'
_space_group_IT_number 1
loop_
_space_group_symop_operation_xyz
'x,y,z'
loop_
_atom_site_label
_atom_site_type_symbol
_atom_site_fract_x
_atom_site_fract_y
_atom_site_fract_z
Pm1 Pm 0.000 0.000 0.000
Pm2 Pm 0.393 0.893 0.500
Pm3 Pm 0.607 0.107 0.500
Dy1 Dy 0.225 0.225 0.000
Dy2 Dy 0.292 0.500 0.792
Dy3 Dy 0.708 0.500 0.208
Dy4 Dy 0.775 0.775 0.000
Y1 Y 0.068 0.330 0.738
Y2 Y 0.408 0.670 0.738
Y3 Y 0.592 0.330 0.262
Y4 Y 0.932 0.670 0.262
# formation energy from the elements = 0.175 eV/atom
# space group = Immm, No. 71
# crystal system = orthorhombic
# size of the total moment = 0.00 μB per formula unit

# 6
# Pm4DyY4 (PBE, optimized geometry)
data_Pm4DyY4
_chemical_formula_sum 'Pm4 Dy1 Y4'
_cell_length_a 8.060
_cell_length_b 8.060
_cell_length_c 8.060
_cell_angle_alpha 95.73
_cell_angle_beta 95.73
_cell_angle_gamma 143.17
_space_group_name_H-M_alt 'P 1'
_space_group_IT_number 1
loop_
_space_group_symop_operation_xyz
'x,y,z'
loop_
_atom_site_label
_atom_site_type_symbol
_atom_site_fract_x
_atom_site_fract_y
_atom_site_fract_z
Pm1 Pm 0.000 0.332 0.332
Pm2 Pm 0.000 0.668 0.668
Pm3 Pm 0.332 0.000 0.332
Pm4 Pm 0.668 0.000 0.668
Dy1 Dy 0.000 0.000 0.000
Y1 Y 0.334 0.334 0.668
Y2 Y 0.334 0.666 0.000
Y3 Y 0.666 0.334 0.000
Y4 Y 0.666 0.666 0.332
# formation energy from the elements = 0.018 eV/atom
# space group = I4/mmm, No. 139
# crystal system = tetragonal
# size of the total moment = 0.00 μB per formula unit

# 7
# Pm2Dy2Y7 (PBE, optimized geometry)
data_Pm2Dy2Y7
_chemical_formula_sum 'Pm2 Dy2 Y7'
_cell_length_a 6.538
_cell_length_b 6.538
_cell_length_c 8.743
_cell_angle_alpha 98.24
_cell_angle_beta 98.24
_cell_angle_gamma 93.48
_space_group_name_H-M_alt 'P 1'
_space_group_IT_number 1
loop_
_space_group_symop_operation_xyz
'x,y,z'
loop_
_atom_site_label
_atom_site_type_symbol
_atom_site_fract_x
_atom_site_fract_y
_atom_site_fract_z
Pm1 Pm 0.177 0.823 0.000
Pm2 Pm 0.823 0.177 0.000
Dy1 Dy 0.105 0.105 0.355
Dy2 Dy 0.895 0.895 0.645
Y1 Y 0.055 0.419 0.706
Y2 Y 0.350 0.350 0.094
Y3 Y 0.419 0.055 0.706
Y4 Y 0.500 0.500 0.500
Y5 Y 0.581 0.945 0.294
Y6 Y 0.650 0.650 0.906
Y7 Y 0.945 0.581 0.294
# formation energy from the elements = 0.106 eV/atom
# space group = C2/m, No. 12
# crystal system = monoclinic
# size of the total moment = 0.00 μB per formula unit

# 8
# Pm2DyY9 (PBE, optimized geometry)
data_Pm2DyY9
_chemical_formula_sum 'Pm2 Dy1 Y9'
_cell_length_a 5.067
_cell_length_b 5.067
_cell_length_c 15.196
_cell_angle_alpha 90.00
_cell_angle_beta 90.00
_cell_angle_gamma 90.00
_space_group_name_H-M_alt 'P 1'
_space_group_IT_number 1
loop_
_space_group_symop_operation_xyz
'x,y,z'
loop_
_atom_site_label
_atom_site_type_symbol
_atom_site_fract_x
_atom_site_fract_y
_atom_site_fract_z
Pm1 Pm 0.000 0.000 0.167
Pm2 Pm 0.000 0.000 0.833
Dy1 Dy 0.000 0.000 0.500
Y1 Y 0.000 0.500 0.000
Y2 Y 0.000 0.500 0.335
Y3 Y 0.000 0.500 0.665
Y4 Y 0.500 0.000 0.000
Y5 Y 0.500 0.000 0.335
Y6 Y 0.500 0.000 0.665
Y7 Y 0.500 0.500 0.168
Y8 Y 0.500 0.500 0.500
Y9 Y 0.500 0.500 0.832
# formation energy from the elements = 0.023 eV/atom
# space group = P4/mmm, No. 123
# crystal system = tetragonal
# size of the total moment = 0.00 μB per formula unit